1.
PaGe2Ir: optimized geometry, GGA-PBE.

abc: 4.962 4.962 4.565
angles: 57.07 57.07 60.00
Fractional coordinates of all 4 atoms:
Ir (0.000, 0.000, 0.000)
Ge (0.764, 0.764, 0.709)
Ge (0.236, 0.236, 0.291)
Pa (0.500, 0.500, 0.500)

M_tot   0.36 μB/cell
Density of states at the Fermi level   1.54 states/eV per atom
Crystal system   trigonal
Symmetry   No. 166
Calculated formation energy   -0.21 eV/atom
E   -28.4 eV per cell

2.
Ce3SmY2Sb6: optimized geometry, GGA-PBE.

abc: 7.726 7.726 7.721
angles: 99.61 99.61 119.99
Fractional coordinates of all 12 atoms:
Sb (0.255, 0.255, 0.755)
Sb (0.918, 0.582, 0.754)
Sb (0.082, 0.418, 0.246)
Sb (0.745, 0.745, 0.245)
Sb (0.582, 0.918, 0.754)
Sb (0.418, 0.082, 0.246)
Ce (0.166, 0.834, 0.500)
Ce (0.834, 0.166, 0.500)
Ce (0.500, 0.500, 0.500)
Sm (0.000, 0.000, 0.000)
Y (0.667, 0.333, 0.000)
Y (0.333, 0.667, 0.000)

M_tot   2.39 μB/cell
Density of states at the Fermi level   1.70 states/eV per atom
Raw formation energy   -1108.6 meV/atom
Crystal system   monoclinic
Symmetry   No. 12
E   -73.5 eV per cell

3.
BaCuSi2: optimized geometry, GGA-PBE.

abc: 5.001 5.001 5.001
angles: 60.00 60.00 60.00
Fractional coordinates of all 4 atoms:
Si (0.250, 0.250, 0.250)
Si (0.750, 0.750, 0.750)
Cu (0.000, 0.000, 0.000)
Ba (0.500, 0.500, 0.500)

M_tot   0.00 μB/cell
Density of states at the Fermi level   0.51 states/eV per atom
Raw formation energy   471.0 meV/atom
Crystal system   cubic
Symmetry   No. 225
E   -15.0 eV per cell